Record 1
Computed, not measured: a geometry-optimized AlCd4Ag structure at the PBEsol level of DFT.

a = 5.5908 Å, b = 5.5908 Å, c = 5.5908 Å
α = 60.00°, β = 60.00°, γ = 60.00°
Sites, in units of the cell vectors:
1 Al 0.0000 0.0000 0.0000
2 Cd 0.1259 0.6247 0.6247
3 Cd 0.6247 0.1259 0.6247
4 Cd 0.6247 0.6247 0.1259
5 Cd 0.6247 0.6247 0.6247
6 Ag 0.2500 0.2500 0.2500

Computed properties:
The space-group type is F-43m (216). The formation energy comes out at 0.225 eV/atom.

Record 2
Computed, not measured: a geometry-optimized AlCdAg2 structure at the PBEsol level of DFT.

a = 3.0502 Å, b = 3.9701 Å, c = 5.6883 Å
α = 90.00°, β = 90.00°, γ = 90.00°
Sites, in units of the cell vectors:
1 Al 0.0000 0.0000 0.0000
2 Cd 0.5000 0.5000 0.2806
3 Ag 0.0000 0.0000 0.5233
4 Ag 0.5000 0.5000 0.7843

Computed properties:
The space-group type is Pmm2 (25). The formation energy comes out at -0.034 eV/atom.

Repeat the first record exactly.
Computed, not measured: a geometry-optimized AlCd4Ag structure at the PBEsol level of DFT.

a = 5.5908 Å, b = 5.5908 Å, c = 5.5908 Å
α = 60.00°, β = 60.00°, γ = 60.00°
Sites, in units of the cell vectors:
1 Al 0.0000 0.0000 0.0000
2 Cd 0.1259 0.6247 0.6247
3 Cd 0.6247 0.1259 0.6247
4 Cd 0.6247 0.6247 0.1259
5 Cd 0.6247 0.6247 0.6247
6 Ag 0.2500 0.2500 0.2500

Computed properties:
The space-group type is F-43m (216). The formation energy comes out at 0.225 eV/atom.